[1]
CeZr14Sc: relaxed, PBE-GGA.

Structure (extended XYZ):
```
16
Lattice="9.036 0.000 0.000 0.000 4.560 4.558 0.000 -4.560 4.558" Properties=species:S:1:pos:R:3 pbc="T T T"
Ce 0.000 0.000 0.000
Zr 0.000 -2.271 6.838
Zr 0.000 2.271 6.838
Zr 2.263 0.000 2.278
Zr 2.271 -2.268 4.555
Zr 2.271 2.268 4.555
Zr 2.277 0.000 6.830
Zr 4.518 0.000 0.003
Zr 4.518 2.280 6.834
Zr 4.518 0.000 4.549
Zr 4.518 -2.280 6.834
Zr 6.759 0.000 6.830
Zr 6.765 -2.268 4.555
Zr 6.765 2.268 4.555
Zr 6.773 0.000 2.278
Sc 0.000 0.000 4.554
```

Crystal system: orthorhombic
Space-group type: Amm2, No. 38

***

[2]
CeZr4Sc: relaxed, PBE-GGA.

Structure (extended XYZ):
```
12
Lattice="3.987 -6.729 0.000 3.987 6.729 0.000 -2.178 0.000 5.504" Properties=species:S:1:pos:R:3 pbc="T T T"
Ce 2.354 5.472 4.128
Ce 3.443 -5.472 1.376
Zr -0.258 1.626 4.766
Zr 2.312 2.689 2.507
Zr 0.831 -1.626 2.014
Zr 4.573 2.689 0.245
Zr 1.223 -2.689 5.259
Zr 4.965 1.626 3.490
Zr 3.484 -2.689 2.997
Zr 6.054 -1.626 0.738
Sc 3.443 0.012 1.376
Sc 2.354 -0.012 4.128
```

Crystal system: monoclinic
Space-group type: C2/c, No. 15

***

[3]
CeZr4Sc8: relaxed, PBE-GGA.

Structure (extended XYZ):
```
13
Lattice="3.333 1.924 8.101 -3.333 1.924 8.101 0.000 -3.849 8.101" Properties=species:S:1:pos:R:3 pbc="T T T"
Ce 0.000 0.000 0.000
Zr -3.333 0.000 12.151
Zr -1.667 0.962 4.050
Zr 1.667 0.962 4.050
Zr 0.000 0.000 12.151
Sc 0.000 -1.738 9.682
Sc -1.505 0.869 9.682
Sc 0.000 0.000 6.725
Sc -1.505 -0.869 14.619
Sc 1.505 0.869 9.682
Sc 0.000 0.000 17.577
Sc 1.505 -0.869 14.619
Sc 0.000 1.738 14.619
```

Crystal system: trigonal
Space-group type: R-3m, No. 166

***

[4]
CeZr2Sc5: relaxed, PBE-GGA.

Structure (extended XYZ):
```
16
Lattice="2.654 -5.652 0.000 2.654 5.652 0.000 0.000 0.000 13.113" Properties=species:S:1:pos:R:3 pbc="T T T"
Ce 2.654 3.544 9.834
Ce 2.654 -3.544 3.278
Zr 2.654 1.954 1.812
Zr 2.654 1.954 4.744
Zr 2.654 -1.954 8.368
Zr 2.654 -1.954 11.300
Sc 2.654 4.786 3.278
Sc 2.654 4.103 6.742
Sc 2.654 4.103 12.927
Sc 2.654 1.042 7.947
Sc 2.654 1.042 11.722
Sc 2.654 -1.042 1.391
Sc 2.654 -1.042 5.166
Sc 2.654 -4.103 0.186
Sc 2.654 -4.103 6.371
Sc 2.654 -4.786 9.834
```

Crystal system: orthorhombic
Space-group type: Cmcm, No. 63

***

[5]
CeZr2Sc: relaxed, PBE-GGA.

Structure (extended XYZ):
```
8
Lattice="3.142 0.000 0.000 0.017 5.850 0.000 0.937 2.133 10.584" Properties=species:S:1:pos:R:3 pbc="T T T"
Ce 0.000 0.000 0.000
Ce 0.009 2.925 0.000
Zr 1.347 3.582 7.790
Zr 1.228 5.450 5.269
Zr 2.869 2.533 5.315
Zr 2.749 4.401 2.794
Sc 1.371 1.463 2.709
Sc 2.725 6.520 7.875
```

Crystal system: triclinic
Space-group type: P-1, No. 2

***

[6]
CeZr2Sc6: relaxed, PBE-GGA.

Structure (extended XYZ):
```
9
Lattice="7.852 -1.563 0.000 7.852 1.563 0.000 -6.267 0.000 8.938" Properties=species:S:1:pos:R:3 pbc="T T T"
Ce 0.000 0.000 0.000
Zr 0.904 0.000 6.013
Zr 8.534 0.000 2.926
Sc -3.962 0.000 6.701
Sc 2.898 0.000 1.049
Sc 3.261 0.000 3.990
Sc 6.177 0.000 4.948
Sc 6.540 0.000 7.890
Sc 13.399 0.000 2.237
```

Crystal system: monoclinic
Space-group type: C2/m, No. 12

***

The records above yield E_form values of 4.8 14.9 19.7 18.0 11.2 7.7 kJ per mole of atoms, respectively.
The records above yield DOS at the Fermi energy values of 1.39 1.70 1.55 1.69 2.00 1.54 states/eV per atom, respectively.